{"formula": "Rb3Zr3VS8", "functional": "PBE", "state": "relaxed", "lattice": [[7.4223, 0.0000, -0.0001], [-3.7112, 6.4370, -0.0283], [-0.0001, -4.2625, 7.9004]], "species": ["Rb", "Rb", "Rb", "S", "S", "S", "S", "S", "S", "S", "S", "V", "Zr", "Zr", "Zr"], "fractional_positions": [[0.5000, 0.5000, 0.0000], [0.0000, 0.0000, 0.0000], [0.0000, 0.5000, 0.0000], [0.2245, 0.9580, 0.6825], [0.7755, 0.0420, 0.3175], [0.7334, 0.9580, 0.6825], [0.7753, 0.5506, 0.3173], [0.2247, 0.4494, 0.6827], [0.2666, 0.0420, 0.3175], [0.7302, 0.4605, 0.6910], [0.2698, 0.5395, 0.3090], [0.0000, 0.0000, 0.5000], [0.5000, 0.5000, 0.5000], [0.0000, 0.5000, 0.5000], [0.5000, 0.0000, 0.5000]], "dos_at_fermi_per_ev_cell": 6.807, "e_form_raw_ev_per_atom": -1.408, "final_energy_ev_per_atom": -6.120}